Density functional theory data (PBE-GGA) for a relaxed HoTm2Pb2 crystal.

Excess energy over the best structure of this formula in the dataset, meV/atom: 105
D(E_F), states/eV per cell: 5.81
Final energy, eV per atom: -4.49
Formation enthalpy at 0 K, meV/atom: -297.5

Cell lengths 6.596, 4.556, 10.072 Å; angles 90.00, 90.00, 90.00 degrees
Atoms (fractional coordinates):
1 Ho 0.000 0.000 0.000
2 Ho 0.500 0.000 0.000
3 Tm 0.250 0.000 0.356
4 Tm 0.250 0.500 0.768
5 Tm 0.750 0.000 0.644
6 Tm 0.750 0.500 0.232
7 Pb 0.000 0.500 0.500
8 Pb 0.250 0.500 0.133
9 Pb 0.500 0.500 0.500
10 Pb 0.750 0.500 0.867